1.
12
Lattice="6.5734 0.0000 0.0000 0.0000 5.1229 0.0000 0.0000 0.0000 9.5267" Properties=species:S:1:pos:R:3 comment="Tb2Al PBE-GGA optimized geometry" formation_energy_ev_per_fu=-0.9 total_energy_ev_per_fu=-13.9 spacegroup=Pnma pbc="T T T"
Tb 0.1794 1.2807 1.9812
Tb 1.2293 1.2807 5.4650
Tb 2.0574 3.8422 0.7017
Tb 3.1073 3.8422 6.7446
Tb 3.4661 1.2807 2.7821
Tb 4.5160 1.2807 8.8250
Tb 5.3441 3.8422 4.0617
Tb 6.3940 3.8422 7.5455
Al 1.3633 1.2807 8.5471
Al 1.9234 3.8422 3.7838
Al 4.6500 1.2807 5.7429
Al 5.2101 3.8422 0.9796

2.
14
Lattice="2.0903 -5.5847 0.0000 2.0903 5.5847 0.0000 0.0000 0.0000 14.2488" Properties=species:S:1:pos:R:3 comment="Tb3Al4 PBE-GGA optimized geometry" polymorph_energy_kcal_per_mol_atoms=0.77 formation_energy_ev_per_fu=-2.8 total_energy_ev_per_fu=-31.6 spacegroup=Cmcm pbc="T T T"
Tb 2.0903 5.4976 10.6866
Tb 2.0903 2.3084 1.4243
Tb 2.0903 2.3084 5.7001
Tb 2.0903 -2.3084 8.5487
Tb 2.0903 -2.3084 12.8245
Tb 2.0903 -5.4976 3.5622
Al 0.0000 0.0000 0.0000
Al 0.0000 0.0000 7.1244
Al 2.0903 2.3974 10.6866
Al 2.0903 0.8787 8.5217
Al 2.0903 0.8787 12.8515
Al 2.0903 -0.8787 1.3973
Al 2.0903 -0.8787 5.7271
Al 2.0903 -2.3974 3.5622

3.
3
Lattice="-1.7263 1.7263 6.7662 1.7263 -1.7263 6.7662 1.7263 1.7263 -6.7662" Properties=species:S:1:pos:R:3 comment="Tb2Al PBE-GGA optimized geometry" formation_energy_ev_per_fu=-0.7 total_energy_ev_per_fu=-13.7 spacegroup=I4/mmm pbc="T T T"
Tb 0.0000 0.0000 2.0048
Tb 0.0000 0.0000 11.5276
Al 0.0000 0.0000 6.7662